[1]
Ac2Ag2RhO6: optimized geometry, PBE.

abc: 6.3728 6.3728 6.2953
angles: 93.44 93.44 121.73
Fractional coordinates of all 11 atoms:
Ac  0.1623  0.8377  0.0000
Ac  0.8377  0.1623  0.0000
Ag  0.3658  0.6342  0.5000
Ag  0.6342  0.3658  0.5000
Rh  0.5000  0.5000  0.0000
O  0.1934  0.1934  0.8441
O  0.2456  0.5299  0.1745
O  0.4701  0.7544  0.8255
O  0.5299  0.2456  0.1745
O  0.7544  0.4701  0.8255
O  0.8066  0.8066  0.1559

Summary:
Formation energy without anion corrections in eV/atom: -1.62
Size of the total moment in μB/cell: 1.04
Total DFT energy (no corrections) in eV for the cell shown: -68.8

***

[2]
Ag2HgAu9: optimized geometry, PBE.

abc: 4.1739 4.1739 12.6151
angles: 90.00 90.00 90.00
Fractional coordinates of all 12 atoms:
Ag  0.0000  0.0000  0.1633
Ag  0.0000  0.0000  0.8367
Hg  0.0000  0.0000  0.5000
Au  0.0000  0.5000  0.0000
Au  0.0000  0.5000  0.3280
Au  0.0000  0.5000  0.6720
Au  0.5000  0.0000  0.0000
Au  0.5000  0.0000  0.3280
Au  0.5000  0.0000  0.6720
Au  0.5000  0.5000  0.1644
Au  0.5000  0.5000  0.5000
Au  0.5000  0.5000  0.8356

Summary:
Energy of formation in eV per atom: -0.008
Size of the total moment in μB/cell: 0.00
Total DFT energy (no corrections) in eV for the cell shown: -35.6